! Mg2ZnCrSn | the Alexandria database | PBE | relaxed; values from VASP
! **Calculated formation energy**: 0.6102 eV/atom
! **DOS at the Fermi energy**: 0.71 states/eV/atom
&SYSTEM
  ibrav = 0, nat = 5, ntyp = 4
/
ATOMIC_SPECIES
Mg 24.30 Mg.upf
Cr 52.00 Cr.upf
Zn 65.41 Zn.upf
Sn 118.71 Sn.upf
ATOMIC_POSITIONS angstrom
Mg 0.0000 0.0000 2.6242
Mg 2.6242 0.0000 0.0000
Cr 0.0000 0.0000 0.0000
Zn 2.6242 2.5187 2.6242
Sn 0.0000 2.5187 0.0000
CELL_PARAMETERS angstrom
5.2483 0.0000 0.0000
0.0000 5.0374 0.0000
0.0000 0.0000 5.2483

---

! ZnCdNiPb2 | the Alexandria database | PBE | relaxed; values from VASP
! **Calculated formation energy**: 0.1551 eV/atom
! **DOS at the Fermi energy**: 0.38 states/eV/atom
&SYSTEM
  ibrav = 0, nat = 5, ntyp = 4
/
ATOMIC_SPECIES
Pb 207.20 Pb.upf
Ni 58.69 Ni.upf
Zn 65.41 Zn.upf
Cd 112.41 Cd.upf
ATOMIC_POSITIONS angstrom
Pb 0.0000 0.0000 2.5740
Pb 2.5740 0.0000 0.0000
Ni 0.0000 0.0000 0.0000
Zn 0.0000 2.3732 0.0000
Cd 2.5740 2.3732 2.5740
CELL_PARAMETERS angstrom
5.1480 0.0000 0.0000
0.0000 4.7464 0.0000
0.0000 0.0000 5.1480

---

! Tb5Pr2Tm4 | the Alexandria database | PBE | relaxed; values from VASP
! **Calculated formation energy**: 0.1982 eV/atom
! **DOS at the Fermi energy**: 1.25 states/eV/atom
! **Energy above the lowest structure with this stoichiometry**: 1.94 eV/f.u.
&SYSTEM
  ibrav = 0, nat = 11, ntyp = 3
/
ATOMIC_SPECIES
Tb 158.93 Tb.upf
Pr 140.91 Pr.upf
Tm 168.93 Tm.upf
ATOMIC_POSITIONS angstrom
Tb 1.7388 -2.4360 5.9440
Tb 1.7388 2.4360 5.9440
Tb 0.0000 3.2984 3.2454
Tb 0.0000 8.1704 3.2454
Tb 1.7388 0.0000 0.0000
Pr 0.0000 0.0000 3.7431
Pr 1.7388 5.7344 5.4463
Tm 0.0000 3.1861 0.0000
Tm 1.7388 5.7344 1.6375
Tm 0.0000 8.2827 0.0000
Tm 0.0000 0.0000 7.5519
CELL_PARAMETERS angstrom
3.4776 0.0000 0.0000
0.0000 11.4687 0.0000
-1.7388 -5.7344 9.1894